No. 1
DFT (PBE) results for a relaxed SrFe2Pd crystal.

Output
E_form: 1.618 eV/f.u.

abc: 4.589 4.589 18.010
angles: 90.00 90.00 90.00
Fractional positions:
Sr 0.000 0.250 0.375
Sr 0.000 0.750 0.625
Sr 0.500 0.250 0.125
Sr 0.500 0.750 0.875
Fe 0.000 0.000 0.000
Fe 0.000 0.500 0.000
Fe 0.250 0.250 0.750
Fe 0.250 0.750 0.250
Fe 0.500 0.000 0.500
Fe 0.500 0.500 0.500
Fe 0.750 0.250 0.750
Fe 0.750 0.750 0.250
Pd 0.000 0.250 0.875
Pd 0.000 0.750 0.125
Pd 0.500 0.250 0.625
Pd 0.500 0.750 0.375

***

No. 2
DFT (PBE) results for a relaxed Pm5AuS4 crystal.

Output
Raw formation energy: -170.4 kJ/mol of atoms

abc: 7.136 7.136 10.087
angles: 118.69 118.69 32.92
Fractional positions:
Pm 0.000 0.000 0.000
Pm 0.203 0.203 0.809
Pm 0.393 0.393 0.606
Pm 0.607 0.607 0.394
Pm 0.797 0.797 0.191
Au 0.000 0.000 0.500
S 0.203 0.203 0.296
S 0.402 0.402 0.100
S 0.598 0.598 0.900
S 0.797 0.797 0.704

***

No. 3
DFT (PBE) results for a relaxed ReSiAu2 crystal.

Output
Raw formation energy: 48.8 kJ/mol of atoms

abc: 4.486 4.486 6.367
angles: 90.00 90.00 90.00
Fractional positions:
Re 0.000 0.000 0.000
Re 0.500 0.500 0.500
Si 0.000 0.500 0.750
Si 0.500 0.000 0.250
Au 0.000 0.000 0.500
Au 0.000 0.500 0.250
Au 0.500 0.000 0.750
Au 0.500 0.500 0.000

***

No. 4
DFT (PBE) results for a relaxed Mn2TlInI8 crystal.

Output
Raw formation energy: -36.4 kJ/mol of atoms

abc: 7.006 8.857 7.407
angles: 90.00 91.27 90.00
Fractional positions:
Mn 0.000 0.248 0.000
Mn 0.000 0.752 0.000
Tl 0.500 0.500 0.500
In 0.500 0.000 0.500
I 0.211 0.500 0.859
I 0.238 0.227 0.327
I 0.238 0.773 0.327
I 0.239 0.000 0.849
I 0.761 0.000 0.151
I 0.762 0.227 0.673
I 0.762 0.773 0.673
I 0.789 0.500 0.141